Density functional theory data (PBE) for a relaxed structure of SmEr4Tm6.

The space group is I-42m (No. 121) and the conventional cell measures 7.590, 7.590 and 12.855 Å, with angles of 90.00, 90.00 and 90.00 degrees. Symmetry generates all atoms from Sm at (0.000, 0.000, 0.000), Er at (0.165, 0.165, 0.424), Tm at (0.000, 0.500, 0.000) and Tm at (0.248, 0.248, 0.185).

The magnetic moment comes out at 0.000 μB per atom. Its uncorrected energy is -4.059 eV/atom. Its theoretical density is 8.2 Mg/m³. Its energy of formation from the pure elements is 468.2 meV/atom. The calculation puts the energy above the most stable polymorph in this dataset at 344 meV per atom. For the density of states at the Fermi level, the calculation gives 1.58 states/eV per atom.